A geometry-optimized RbSiBiS4 structure. Source: the Alexandria database, functional PBE-GGA.

Computed properties:
As for the electronic total energy: -0.1702 Ha/atom. The value obtained for the raw formation energy is -0.81 eV/atom. Its energy above the lowest structure with this stoichiometry is 0 meV per atom.

Cell lengths 6.5956, 6.8503, 18.1617 Å; angles 90.00, 107.31, 90.00 degrees
Closest atoms and distances in Å follow each position.
Element x y z (fractional)
Rb 0.2206 0.2503 0.4659  8 S 3.45-3.70
Rb 0.2206 0.2497 0.9659  8 S 3.45-3.70
Rb 0.7794 0.7503 0.0341  8 S 3.45-3.70
Rb 0.7794 0.7497 0.5341  8 S 3.45-3.70
Si 0.2899 0.7319 0.3381  4 S 2.12-2.16
Si 0.2899 0.7681 0.8381  4 S 2.12-2.16
Si 0.7101 0.2319 0.1619  4 S 2.12-2.16
Si 0.7101 0.2681 0.6619  4 S 2.12-2.16
Bi 0.2618 0.1988 0.7234  5 S 2.78-2.95
Bi 0.2618 0.3012 0.2234  5 S 2.78-2.95
Bi 0.7382 0.6988 0.7766  5 S 2.78-2.95
Bi 0.7382 0.8012 0.2766  5 S 2.78-2.95
S 0.0870 0.7497 0.4096  1 Si 2.13
S 0.0870 0.7503 0.9096  1 Si 2.13
S 0.0960 0.6810 0.2209  1 Si 2.16
S 0.0960 0.8190 0.7209  1 Si 2.16
S 0.4819 0.5107 0.8512  1 Si 2.14
S 0.4819 0.9893 0.3512  1 Si 2.14
S 0.4883 0.5017 0.6376  1 Si 2.12
S 0.4883 0.9983 0.1376  1 Si 2.12
S 0.5117 0.0017 0.8624  1 Si 2.12
S 0.5117 0.4983 0.3624  1 Si 2.12
S 0.5181 0.0107 0.6488  1 Si 2.14
S 0.5181 0.4893 0.1488  1 Si 2.14
S 0.9040 0.1810 0.2791  1 Si 2.16
S 0.9040 0.3190 0.7791  1 Si 2.16
S 0.9130 0.2497 0.0904  1 Si 2.13
S 0.9130 0.2503 0.5904  1 Si 2.13

=====

A geometry-optimized Ni2IrPdC structure. Source: the Alexandria database, functional PBE-GGA.

Computed properties:
As for the electronic total energy: -0.2481 Ha/atom. The energy of formation from the pure elements comes out at 0.2162 eV per atom.

Cell lengths 3.8821, 3.8821, 3.9774 Å; angles 90.00, 90.00, 90.00 degrees
Closest atoms and distances in Å follow each position.
Element x y z (fractional)
Ni 0.0000 0.5000 0.0000  2 C 1.94
Ni 0.5000 0.0000 0.0000  2 C 1.94
Ir 0.0000 0.0000 0.5000  2 C 1.99
Pd 0.5000 0.5000 0.5000  4 Ir 2.75, 8 Ni 2.78
C 0.0000 0.0000 0.0000  4 Ni 1.94, 2 Ir 1.99

=====

no.,density (g cm⁻³)
1,3.82
2,11.86